No. 1
The following is a PBE-GGA calculation of a relaxed structure of Tc3SnN, from the Alexandria database.

abc: 4.6891 6.5176 8.1246
angles: 61.05 62.54 104.50
Closest atoms and distances in Å follow each position.
Sites, in units of the cell vectors:
Tc  0.4689  0.8322  0.8766  1 N 2.08
Tc  0.7107  0.5125  0.0428  2 N 1.98-2.14
Tc  0.8142  0.7489  0.2152  1 N 2.13
Tc  0.2707  0.3566  0.9075  1 N 2.01
Tc  0.5726  0.0375  0.0676  2 N 2.03-2.07
Tc  0.9364  0.4619  0.5710  2 N 2.02-2.04
N  0.9967  0.4824  0.7947  4 Tc 1.98-2.03
N  0.3496  0.6157  0.2161  5 Tc 2.04-2.14
Sn  0.3063  0.1477  0.6084  6 Tc 2.72-2.99, 1 N 3.03
Sn  0.9266  0.9810  0.4156  7 Tc 2.76-3.01

Summary:
E_tot = -8.538 eV per atom
formation energy without anion corrections = 0.15 eV per atom
polymorph energy (0 for the lowest one) = 104 meV per atom
spin magnetization = 0.000 μB/atom


No. 2
The following is a PBE-GGA calculation of a relaxed structure of Li6MgGe, from the Alexandria database.

abc: 4.4410 5.6896 5.6896
angles: 106.10 90.00 90.00
Closest atoms and distances in Å follow each position.
Sites, in units of the cell vectors:
Li  0.5000  0.3970  0.1391  4 Li 2.77-2.85, 2 Ge 2.83-2.86, 2 Mg 2.89
Li  0.5000  0.8891  0.1109  8 Li 2.76-2.85
Li  0.0000  0.5791  0.4209  6 Li 2.57-2.77
Li  0.0000  0.1142  0.3637  3 Li 2.57-2.76, 1 Mg 2.70, 2 Ge 2.85
Li  0.0000  0.6363  0.8858  3 Li 2.57-2.76, 1 Mg 2.70, 2 Ge 2.85
Li  0.5000  0.8609  0.6030  4 Li 2.77-2.85, 2 Ge 2.83-2.86, 2 Mg 2.89
Mg  0.0000  0.1524  0.8476  8 Li 2.70-3.00, 2 Ge 2.98
Ge  0.5000  0.3707  0.6293  10 Li 2.83-2.92, 2 Mg 2.98

Summary:
E_tot = -2.367 eV per atom
energy of formation = -156 meV per atom
spin magnetization = 0.000 μB/atom